[1]
PrErCdTc | PBE | relaxed

Values from the calculation:
SG: No. 216
formation energy: -0.018 eV per atom

Cell lengths 5.120, 5.120, 5.120 Å; angles 60.00, 60.00, 60.00 degrees
Positions (direct):
Pr1 0.000 0.000 0.000
Er1 0.500 0.500 0.500
Cd1 0.250 0.250 0.250
Tc1 0.750 0.750 0.750

[2]
La2TiHPd | PBE | relaxed

Values from the calculation:
SG: No. 123
offset from the most stable computed form: 0.000 eV/atom

Cell lengths 5.568, 5.568, 3.541 Å; angles 90.00, 90.00, 90.00 degrees
Positions (direct):
La1 0.000 0.500 0.000
La2 0.500 0.000 0.000
Ti1 0.000 0.000 0.000
H1 0.000 0.000 0.500
Pd1 0.500 0.500 0.500

[3]
TiTc2SnC | PBE | relaxed

Values from the calculation:
SG: No. 123
formation energy: -0.159 eV per atom

Cell lengths 4.184, 4.184, 4.122 Å; angles 90.00, 90.00, 90.00 degrees
Positions (direct):
Ti1 0.000 0.000 0.000
Tc1 0.000 0.500 0.500
Tc2 0.500 0.000 0.500
Sn1 0.500 0.500 0.000
C1 0.000 0.000 0.500

[4]
SbOsPb2 | PBE | relaxed

Values from the calculation:
SG: No. 166
formation energy (no corrections): 641 meV per atom

Cell lengths 10.196, 10.196, 10.196 Å; angles 19.01, 19.01, 19.01 degrees
Positions (direct):
Sb1 0.000 0.000 0.000
Os1 0.500 0.500 0.500
Pb1 0.236 0.236 0.236
Pb2 0.764 0.764 0.764

[5]
OsPbCl6 | PBE | relaxed

Values from the calculation:
SG: No. 15
formation energy (no corrections): -681 meV per atom

Cell lengths 6.746, 6.746, 10.198 Å; angles 90.31, 90.31, 72.72 degrees
Positions (direct):
Os1 0.000 0.500 0.000
Os2 0.500 0.000 0.500
Pb1 0.012 0.988 0.750
Pb2 0.988 0.012 0.250
Cl1 0.133 0.559 0.204
Cl2 0.146 0.198 0.502
Cl3 0.198 0.146 0.002
Cl4 0.261 0.596 0.894
Cl5 0.404 0.739 0.606
Cl6 0.441 0.867 0.296
Cl7 0.559 0.133 0.704
Cl8 0.596 0.261 0.394
Cl9 0.739 0.404 0.106
Cl10 0.802 0.854 0.998
Cl11 0.854 0.802 0.498
Cl12 0.867 0.441 0.796

[6]
CdNiGe3 | PBE | relaxed

Values from the calculation:
SG: No. 221
offset from the most stable computed form: 1.081 eV/atom
formation energy: 1.287 eV per atom

Cell lengths 5.094, 5.094, 5.094 Å; angles 90.00, 90.00, 90.00 degrees
Positions (direct):
Cd1 0.000 0.000 0.000
Ni1 0.500 0.500 0.500
Ge1 0.000 0.000 0.500
Ge2 0.000 0.500 0.000
Ge3 0.500 0.000 0.000

[7]
NiSn3Pd | PBE | relaxed

Values from the calculation:
SG: No. 221
offset from the most stable computed form: 0.398 eV/atom
formation energy: 0.155 eV per atom

Cell lengths 4.903, 4.903, 4.903 Å; angles 90.00, 90.00, 90.00 degrees
Positions (direct):
Ni1 0.000 0.000 0.000
Sn1 0.000 0.000 0.500
Sn2 0.000 0.500 0.000
Sn3 0.500 0.000 0.000
Pd1 0.500 0.500 0.500

[8]
BeAlSi2 | PBE | relaxed

Values from the calculation:
SG: No. 44
formation energy (no corrections): 350 meV per atom
offset from the most stable computed form: 0.036 eV/atom

Cell lengths 4.728, 4.728, 4.728 Å; angles 136.71, 131.39, 67.10 degrees
Positions (direct):
Be1 0.000 0.000 0.000
Al1 0.740 0.240 0.500
Si1 0.225 0.725 0.500
Si2 0.480 0.480 0.000

Repeat the fifth record exactly.
OsPbCl6 | PBE | relaxed

Values from the calculation:
SG: No. 15
formation energy (no corrections): -681 meV per atom

Cell lengths 6.746, 6.746, 10.198 Å; angles 90.31, 90.31, 72.72 degrees
Positions (direct):
Os1 0.000 0.500 0.000
Os2 0.500 0.000 0.500
Pb1 0.012 0.988 0.750
Pb2 0.988 0.012 0.250
Cl1 0.133 0.559 0.204
Cl2 0.146 0.198 0.502
Cl3 0.198 0.146 0.002
Cl4 0.261 0.596 0.894
Cl5 0.404 0.739 0.606
Cl6 0.441 0.867 0.296
Cl7 0.559 0.133 0.704
Cl8 0.596 0.261 0.394
Cl9 0.739 0.404 0.106
Cl10 0.802 0.854 0.998
Cl11 0.854 0.802 0.498
Cl12 0.867 0.441 0.796